Compound: YMoI2N
Source: Alexandria
Functional: PBE-GGA
Structure: relaxed

```
YMoI2N
1.0
5.671 0.000 0.000
0.000 5.671 0.000
0.000 0.000 3.843
Y Mo I N
1 1 2 1
direct
0.000 0.000 0.000 Y
0.500 0.500 0.500 Mo
0.000 0.500 0.500 I
0.500 0.000 0.500 I
0.500 0.500 0.000 N
```

Results
- energy relative to the lowest polymorph listed for this composition (meV per atom) = 0.0
- calculated volume (Å³/cell) = 123.60
- formation energy from raw total energies (eV/f.u.) = 0.3